Here is Mg4HgBr after structural relaxation from Alexandria via LeMat-Bulk. Energies are from PBE.

## Properties
Formation energy (no corrections) ... -0.008 eV per atom

Structure (POSCAR):
```
Mg4HgBr
1.0
0.000 4.219 4.219
4.219 0.000 4.219
4.219 4.219 0.000
Mg Hg Br
4 1 1
Cartesian
3.174 3.174 3.174 Mg
5.264 5.264 3.174 Mg
5.264 3.174 5.264 Mg
3.174 5.264 5.264 Mg
6.329 6.329 6.329 Hg
0.000 0.000 0.000 Br
```

=====

Here is LiY2Sc after structural relaxation from Alexandria via LeMat-Bulk. Energies are from PBE.

## Properties
Formation energy from the elements ... 109 meV per atom

Structure (POSCAR):
```
LiY2Sc
1.0
1.719 0.993 10.952
-1.719 0.993 10.952
0.000 -1.985 10.952
Li Y Sc
1 2 1
Cartesian
0.000 0.000 0.000 Li
0.000 0.000 8.185 Y
0.000 0.000 13.725 Y
0.000 0.000 27.388 Sc
```

=====

Here is V5Ge4H after structural relaxation from Alexandria via LeMat-Bulk. Energies are from PBE.

Structure (POSCAR):
```
V5Ge4H
1.0
-3.730 3.730 2.455
3.730 -3.730 2.455
3.730 3.730 -2.455
V Ge H
5 4 1
Cartesian
0.000 0.000 0.000 V
4.601 2.136 -0.049 V
2.136 2.859 -0.049 V
1.594 0.871 2.406 V
-0.871 1.594 2.406 V
2.503 0.425 -0.044 Ge
3.305 -1.227 2.411 Ge
0.425 4.957 -0.044 Ge
1.227 3.305 2.411 Ge
0.000 0.000 3.061 H
```

=====

DOS at the Fermi energy readings, ordered: 0.60 1.06 0.82 states/eV/atom
Energy readings, ordered: -8.4 -20.7 -67.0 eV/f.u.